(1)
A relaxed structure of K4H5Se4O16, computed with PBE-GGA.

Electronic total energy   -145.0 eV per cell
Spin magnetization   0.025 μB/atom
Volume   16.00 Å³/atom

a = 7.7091 Å, b = 7.9625 Å, c = 7.9958 Å
α = 71.72°, β = 84.94°, γ = 86.76°
With the nearest neighbours (Å) after each atom.
Space group P-1 (No. 2)
One atom of each set of equivalent atoms:
K 0.0383 0.2126 0.2525 (multiplicity 2)  6 O 2.73-2.94
K 0.3353 0.6613 0.3131 (multiplicity 2)  8 O 2.80-3.09, 1 H 2.87
H 0.2477 0.0413 0.9272 (multiplicity 2)  1 O 1.02
H 0.3520 0.9135 0.5004 (multiplicity 2)  1 O 1.02
H 0.5000 0.5000 0.0000 (multiplicity 1)  2 O 1.22
Se 0.1289 0.2839 0.7160 (multiplicity 2)  4 O 1.65-1.78
Se 0.4680 0.8063 0.7831 (multiplicity 2)  4 O 1.68-1.87
O 0.0017 0.4416 0.7584 (multiplicity 2)  1 Se 1.65
O 0.0209 0.1557 0.6353 (multiplicity 2)  1 Se 1.66
O 0.1833 0.1551 0.9322 (multiplicity 2)  1 H 1.02
O 0.3149 0.3507 0.6002 (multiplicity 2)  1 Se 1.65
O 0.3180 0.8099 0.6101 (multiplicity 2)  1 H 1.02
O 0.3403 0.8464 0.9494 (multiplicity 2)  1 H 1.64, 1 Se 1.68
O 0.3748 0.0440 0.3064 (multiplicity 2)  1 H 1.57, 1 Se 1.70
O 0.4318 0.4037 0.1373 (multiplicity 2)  1 H 1.22

(2)
A relaxed structure of K2HSe2O6, computed with PBE-GGA.

Electronic total energy   -102.3 eV per cell
Spin magnetization   0.000 μB/atom
Volume   18.44 Å³/atom

a = 12.3277 Å, b = 5.2122 Å, c = 6.9807 Å
α = 90.00°, β = 115.24°, γ = 90.00°
With the nearest neighbours (Å) after each atom.
Space group C2/m (No. 12)
One atom of each set of equivalent atoms:
K 0.2208 0.0000 0.2506 (multiplicity 4)  3 O 2.62-2.90
H 0.0000 0.0000 0.5000 (multiplicity 2)  4 O 1.76
Se 0.0024 0.5000 0.7770 (multiplicity 4)  3 O 1.70-1.71
O 0.0554 0.2329 0.7019 (multiplicity 8)  1 Se 1.71, 1 H 1.76
O 0.1496 0.5000 0.3381 (multiplicity 4)  1 Se 1.70

(3)
A relaxed structure of KHSeO4, computed with PBE-GGA.

Electronic total energy   -569.1 eV per cell
Spin magnetization   0.000 μB/atom
Volume   16.25 Å³/atom

a = 8.8396 Å, b = 10.3100 Å, c = 19.9721 Å
α = 90.00°, β = 90.00°, γ = 90.00°
With the nearest neighbours (Å) after each atom.
Space group Pbca (No. 61)
One atom of each set of equivalent atoms:
K 0.1135 0.1741 0.1256 (multiplicity 8)  8 O 2.83-3.11
K 0.1283 0.1822 0.8806 (multiplicity 8)  8 O 2.80-3.11
H 0.0869 0.6065 0.9981 (multiplicity 8)  1 O 1.02
H 0.2273 0.5688 0.2770 (multiplicity 8)  1 O 1.04
Se 0.0158 0.0189 0.2945 (multiplicity 8)  4 O 1.64-1.77
Se 0.2448 0.0746 0.5036 (multiplicity 8)  4 O 1.65-1.78
O 0.0736 0.5041 0.2794 (multiplicity 8)  1 H 1.51, 1 Se 1.68
O 0.0797 0.6214 0.8222 (multiplicity 8)  1 Se 1.65
O 0.0820 0.1557 0.5101 (multiplicity 8)  1 H 1.59, 1 Se 1.67
O 0.0820 0.6063 0.1519 (multiplicity 8)  1 Se 1.64
O 0.1498 0.5909 0.5711 (multiplicity 8)  1 Se 1.65
O 0.1695 0.6049 0.4319 (multiplicity 8)  1 Se 1.65
O 0.1711 0.1201 0.2747 (multiplicity 8)  1 H 1.04
O 0.2018 0.5936 0.0001 (multiplicity 8)  1 H 1.02

(4)
A relaxed structure of KH3Se2O6, computed with PBE-GGA.

Electronic total energy   -242.8 eV per cell
Spin magnetization   0.000 μB/atom
Volume   14.51 Å³/atom

a = 6.5001 Å, b = 16.5132 Å, c = 6.4982 Å
α = 90.00°, β = 92.87°, γ = 90.00°
With the nearest neighbours (Å) after each atom.
Space group P2_1/c (No. 14)
One atom of each set of equivalent atoms:
K 0.2437 0.0006 0.3049 (multiplicity 4)  7 O 2.78-3.01, 1 H 2.81
H 0.0287 0.6645 0.0534 (multiplicity 4)  1 O 1.05
H 0.2460 0.5100 0.3732 (multiplicity 4)  1 O 1.04
H 0.4695 0.1703 0.5612 (multiplicity 4)  1 O 1.01
Se 0.2201 0.1512 0.8032 (multiplicity 4)  3 O 1.71-1.81
Se 0.3038 0.6483 0.2982 (multiplicity 4)  3 O 1.68-1.80
O 0.0770 0.1081 0.6043 (multiplicity 4)  1 H 1.52
O 0.0968 0.7004 0.1712 (multiplicity 4)  1 H 1.05
O 0.1568 0.5625 0.3800 (multiplicity 4)  1 H 1.04
O 0.3609 0.0709 0.8998 (multiplicity 4)  1 H 1.54, 1 Se 1.71
O 0.4122 0.2073 0.6689 (multiplicity 4)  1 H 1.01
O 0.4319 0.6065 0.1059 (multiplicity 4)  1 H 1.66, 1 Se 1.68

(5)
A relaxed structure of KH2SeO4, computed with PBE-GGA.

Electronic total energy   -75.3 eV per cell
Spin magnetization   0.000 μB/atom
Volume   13.69 Å³/atom

a = 4.4898 Å, b = 6.6755 Å, c = 7.3071 Å
α = 90.00°, β = 90.00°, γ = 90.00°
With the nearest neighbours (Å) after each atom.
Space group I222 (No. 23)
One atom of each set of equivalent atoms:
K 0.0000 0.0000 0.0000 (multiplicity 2)  8 O 2.84-3.09
H 0.0000 0.5000 0.1492 (multiplicity 4)  2 O 1.23
Se 0.0000 0.0000 0.5000 (multiplicity 2)  4 O 1.82
O 0.2284 0.3993 0.8392 (multiplicity 8)  1 H 1.23

(6)
A relaxed structure of KH3Se2O8, computed with PBE-GGA.

Electronic total energy   -283.0 eV per cell
Spin magnetization   0.006 μB/atom
Volume   14.89 Å³/atom

a = 8.1024 Å, b = 12.1697 Å, c = 9.1080 Å
α = 90.00°, β = 111.84°, γ = 90.00°
With the nearest neighbours (Å) after each atom.
Space group P2_1/c (No. 14)
One atom of each set of equivalent atoms:
K 0.1417 0.2464 0.0530 (multiplicity 4)  9 O 2.88-3.20
H 0.2309 0.5796 0.4956 (multiplicity 4)  1 O 1.02
H 0.2459 0.6236 0.8446 (multiplicity 4)  1 O 1.04
H 0.3446 0.5684 0.1975 (multiplicity 4)  1 O 1.06
Se 0.0625 0.5012 0.2584 (multiplicity 4)  4 O 1.64-1.77
Se 0.4251 0.7125 0.0701 (multiplicity 4)  4 O 1.63-1.74
O 0.0425 0.6184 0.7587 (multiplicity 4)  1 H 1.54, 1 Se 1.66
O 0.0623 0.1118 0.2802 (multiplicity 4)  1 Se 1.64
O 0.1959 0.0072 0.6561 (multiplicity 4)  1 H 1.45
O 0.1981 0.9995 0.9615 (multiplicity 4)  1 H 1.02
O 0.2485 0.7103 0.5423 (multiplicity 4)  1 H 1.64, 1 Se 1.65
O 0.3831 0.6308 0.9033 (multiplicity 4)  1 H 1.04
O 0.3837 0.2275 0.8893 (multiplicity 4)  1 Se 1.63
O 0.4552 0.6226 0.2251 (multiplicity 4)  1 H 1.06

(7)
A relaxed structure of KH6Se2O2, computed with PBE-GGA.

Electronic total energy   -44.7 eV per cell
Spin magnetization   0.089 μB/atom
Volume   15.79 Å³/atom

a = 5.4546 Å, b = 5.5935 Å, c = 6.9549 Å
α = 107.79°, β = 90.03°, γ = 119.11°
With the nearest neighbours (Å) after each atom.
Space group P-1 (No. 2)
One atom of each set of equivalent atoms:
K 0.0000 0.0000 0.0000 (multiplicity 1)  4 H 3.00, 4 Se 3.26
H 0.1308 0.5748 0.3074 (multiplicity 2)  1 O 1.03
H 0.3387 0.6780 0.5390 (multiplicity 2)  1 O 1.10
H 0.4432 0.5750 0.3073 (multiplicity 2)  1 O 1.03
Se 0.3200 0.6396 0.8129 (multiplicity 2)  3 H 1.98-2.17
O 0.3392 0.6796 0.3815 (multiplicity 2)  3 H 1.03-1.10